1.
Computed, not measured: crystalline Zn12Ge3Pt5 at its relaxed geometry at the GGA-PBE level of DFT.

abc: 14.7632 14.7632 14.7632
angles: 90.00 90.00 90.00
Closest atoms and distances in Å follow each position.
Space group Ia-3d (No. 230)
Asymmetric unit:
Zn 0.0187 0.0794 0.6501 [96 per cell]  2 Pt 2.45-2.52, 1 Ge 2.56
Ge 0.0000 0.2500 0.1250 [24 per cell]  8 Zn 2.56-2.84
Pt 0.0000 0.0000 0.0000 [16 per cell]  6 Zn 2.52
Pt 0.0000 0.2500 0.3750 [24 per cell]  4 Zn 2.45

## Properties
size of the total moment = 0.00 Bohr magnetons per cell
crystal system = cubic
energy relative to the elements = 11.4 kJ per mole of atoms

2.
Computed, not measured: crystalline SrTe2Br at its relaxed geometry at the GGA-PBE level of DFT.

abc: 4.6645 8.0938 9.2776
angles: 68.56 87.72 81.81
Closest atoms and distances in Å follow each position.
Space group P1 (No. 1)
Asymmetric unit:
Sr 0.0000 0.0000 0.0000 [1 per cell]  3 Br 3.04-3.12, 2 Te 3.36-3.39
Sr 0.4753 0.2975 0.5303 [1 per cell]  3 Br 3.08-3.14, 2 Te 3.38-3.41
Te 0.0549 0.5631 0.2218 [1 per cell]  3 Te 2.99-3.22
Te 0.0676 0.0079 0.4333 [1 per cell]  2 Te 2.79-3.00
Te 0.4983 0.7840 0.3079 [1 per cell]  3 Te 3.00-3.22
Te 0.7494 0.2775 0.1904 [1 per cell]  2 Te 2.79-2.99
Br 0.5316 0.9347 0.8165 [1 per cell]  3 Sr 3.04-3.14
Br 0.9451 0.3638 0.7204 [1 per cell]  3 Sr 3.08-3.12

## Properties
size of the total moment = 0.00 Bohr magnetons per cell
uncorrected formation energy = -110.4 kJ per mole of atoms
crystal system = triclinic
distance to the lowest polymorph of the same formula = 41 meV per atom

3.
Computed, not measured: crystalline YTl2Bi2 at its relaxed geometry at the GGA-PBE level of DFT.

abc: 4.5317 4.5317 16.0458
angles: 90.00 90.00 90.00
Closest atoms and distances in Å follow each position.
Space group I4/mmm (No. 139)
Asymmetric unit:
Y 0.0000 0.0000 0.0000 [2 per cell]  8 Tl 3.54
Tl 0.0000 0.0000 0.4068 [4 per cell]  1 Tl 2.99
Bi 0.0000 0.5000 0.2500 [4 per cell]  4 Bi 3.20, 4 Tl 3.39

## Properties
size of the total moment = 0.00 Bohr magnetons per cell
crystal system = tetragonal
energy relative to the elements = 8.5 kJ per mole of atoms
distance to the lowest polymorph of the same formula = 282 meV per atom

4.
Computed, not measured: crystalline LiTb2Pb3S6 at its relaxed geometry at the GGA-PBE level of DFT.

abc: 17.9075 3.9808 8.8278
angles: 90.00 109.20 90.00
Closest atoms and distances in Å follow each position.
Space group C2/m (No. 12)
Asymmetric unit:
Li 0.0000 0.0000 0.0000 [2 per cell]  2 S 2.54
Tb 0.1576 0.5000 0.3320 [4 per cell]  6 S 2.71-2.83
Pb 0.0000 0.0000 0.5000 [2 per cell]  6 S 2.98-3.00
Pb 0.1694 0.5000 0.8613 [4 per cell]  3 S 2.83-3.11
S 0.0020 0.5000 0.7526 [4 per cell]  1 Tb 2.71, 3 Pb 2.83-2.98, 2 Li 2.96
S 0.1498 0.0000 0.1171 [4 per cell]  1 Li 2.54, 2 Tb 2.72
S 0.1748 0.0000 0.5624 [4 per cell]  3 Tb 2.79-2.83, 1 Pb 3.00

## Properties
size of the total moment = 0.00 Bohr magnetons per cell
uncorrected formation energy = -111.9 kJ per mole of atoms
crystal system = monoclinic

5.
Computed, not measured: crystalline Na2MgIn3 at its relaxed geometry at the GGA-PBE level of DFT.

abc: 6.2340 17.6499 3.1811
angles: 90.00 90.00 90.00
Closest atoms and distances in Å follow each position.
Space group Cmmm (No. 65)
Asymmetric unit:
Na 0.0000 0.1752 0.0000 [4 per cell]  5 In 3.16-3.48, 2 Na 3.18
Mg 0.0000 0.5000 0.5000 [2 per cell]  6 In 3.00-3.12, 2 Mg 3.18
In 0.0000 0.0000 0.5000 [2 per cell]  2 Mg 3.12, 2 In 3.18, 4 Na 3.48
In 0.0000 0.3556 0.0000 [4 per cell]  2 Mg 3.00, 3 Na 3.16-3.18, 2 In 3.18

## Properties
size of the total moment = 0.00 Bohr magnetons per cell
crystal system = orthorhombic
energy relative to the elements = 4.9 kJ per mole of atoms
distance to the lowest polymorph of the same formula = 155 meV per atom

6.
Computed, not measured: crystalline ThAl2Fe2Ge at its relaxed geometry at the GGA-PBE level of DFT.

abc: 4.3921 4.3921 5.7118
angles: 90.00 90.00 90.00
Closest atoms and distances in Å follow each position.
Space group P4/mmm (No. 123)
Asymmetric unit:
Th 0.0000 0.0000 0.0000 [1 per cell]  2 Ge 2.86
Al 0.5000 0.5000 0.2480 [2 per cell]  4 Fe 2.63, 2 Al 2.83-2.88
Fe 0.0000 0.5000 0.5000 [2 per cell]  2 Ge 2.20
Ge 0.0000 0.0000 0.5000 [1 per cell]  4 Fe 2.20

## Properties
size of the total moment = 2.91 Bohr magnetons per cell
crystal system = tetragonal
energy relative to the elements = -12.9 kJ per mole of atoms

7.
Computed, not measured: crystalline Pm2DyTm at its relaxed geometry at the GGA-PBE level of DFT.

abc: 3.5880 3.5880 10.0938
angles: 90.00 90.00 90.00
Closest atoms and distances in Å follow each position.
Space group P4/mmm (No. 123)
Asymmetric unit:
Pm 0.0000 0.0000 0.2481 [2 per cell]  4 Tm 3.57, 4 Pm 3.59, 4 Dy 3.59
Dy 0.5000 0.5000 0.5000 [1 per cell]  4 Dy 3.59, 8 Pm 3.59
Tm 0.5000 0.5000 0.0000 [1 per cell]  8 Pm 3.57, 4 Tm 3.59

## Properties
size of the total moment = 0.00 Bohr magnetons per cell
crystal system = tetragonal
energy relative to the elements = 2.0 kJ per mole of atoms
distance to the lowest polymorph of the same formula = 5 meV per atom

8.
Computed, not measured: crystalline CaTa2Tc at its relaxed geometry at the GGA-PBE level of DFT.

abc: 6.7052 6.7052 6.7052
angles: 90.00 90.00 90.00
Closest atoms and distances in Å follow each position.
Space group F-43m (No. 216)
Asymmetric unit:
Ca 0.0000 0.0000 0.0000 [4 per cell]  4 Ta 2.90, 4 Tc 2.90
Ta 0.0000 0.0000 0.5000 [4 per cell]  4 Ta 2.90, 4 Tc 2.90
Ta 0.2500 0.2500 0.2500 [4 per cell]  4 Ta 2.90, 4 Ca 2.90
Tc 0.2500 0.2500 0.7500 [4 per cell]  4 Ta 2.90, 4 Ca 2.90

## Properties
size of the total moment = 0.00 Bohr magnetons per cell
crystal system = cubic
energy relative to the elements = 58.2 kJ per mole of atoms
distance to the lowest polymorph of the same formula = 337 meV per atom

9.
Computed, not measured: crystalline RbAg4Pb3Br12 at its relaxed geometry at the GGA-PBE level of DFT.

abc: 15.8893 15.8893 11.0345
angles: 90.00 90.00 120.00
Closest atoms and distances in Å follow each position.
Space group R32 (No. 155, hexagonal axes)
Asymmetric unit:
Rb 0.0000 0.0000 0.0000 [3 per cell]  6 Br 3.63
Ag 0.0000 0.0000 0.5000 [3 per cell]  3 Br 2.58
Ag 0.0000 0.4205 0.5000 [9 per cell]  3 Br 2.56-2.71
Pb 0.0000 0.5632 0.0000 [9 per cell]  6 Br 3.00-3.08
Br 0.0000 0.5912 0.5000 [9 per cell]  1 Ag 2.71
Br 0.0000 0.8375 0.5000 [9 per cell]  1 Ag 2.58
Br 0.0489 0.2055 0.1909 [18 per cell]  1 Ag 2.56

## Properties
size of the total moment = 0.00 Bohr magnetons per cell
uncorrected formation energy = -65.5 kJ per mole of atoms
crystal system = trigonal

10.
Computed, not measured: crystalline InSb2RhI at its relaxed geometry at the GGA-PBE level of DFT.

abc: 5.1257 5.1257 5.9239
angles: 90.00 90.00 90.00
Closest atoms and distances in Å follow each position.
Space group P4/mmm (No. 123)
Asymmetric unit:
In 0.0000 0.0000 0.0000 [1 per cell]  4 I 3.62, 8 Sb 3.92
Sb 0.0000 0.5000 0.5000 [2 per cell]  2 Rh 2.56
Rh 0.5000 0.5000 0.5000 [1 per cell]  4 Sb 2.56
I 0.5000 0.5000 0.0000 [1 per cell]  2 Rh 2.96

## Properties
size of the total moment = 0.00 Bohr magnetons per cell
uncorrected formation energy = 17.5 kJ per mole of atoms
crystal system = tetragonal
distance to the lowest polymorph of the same formula = 0 meV per atom

11.
Computed, not measured: crystalline CeTh2Sn2 at its relaxed geometry at the GGA-PBE level of DFT.

abc: 5.2436 5.2436 12.3748
angles: 90.00 90.00 120.00
Closest atoms and distances in Å follow each position.
Space group P6_3/mmc (No. 194)
Asymmetric unit:
Ce 0.0000 0.0000 0.2500 [2 per cell]  5 Th 3.03-3.09
Th 0.0000 0.0000 0.0000 [2 per cell]  2 Ce 3.09, 6 Sn 3.38
Th 0.3333 0.6667 0.2500 [2 per cell]  3 Ce 3.03
Sn 0.3333 0.6667 0.6216 [4 per cell]  1 Sn 3.18, 6 Th 3.38-3.42, 3 Ce 3.42

## Properties
size of the total moment = 1.24 Bohr magnetons per cell
crystal system = hexagonal
energy relative to the elements = -16.5 kJ per mole of atoms

12.
Computed, not measured: crystalline La3Y2Ho4 at its relaxed geometry at the GGA-PBE level of DFT.

abc: 15.7632 3.6123 10.7914
angles: 90.00 103.66 90.00
Closest atoms and distances in Å follow each position.
Space group C2/m (No. 12)
Asymmetric unit:
La 0.0000 0.0000 0.0000 [2 per cell]  6 Ho 3.57-3.61, 4 Y 3.59, 2 La 3.61
La 0.1655 0.5000 0.5549 [4 per cell]  5 Ho 3.61, 3 Y 3.61-3.62, 4 La 3.61-3.64
Y 0.1670 0.5000 0.2208 [4 per cell]  5 Ho 3.57-3.63, 5 La 3.59-3.62, 2 Y 3.61
Ho 0.0013 0.0000 0.6696 [4 per cell]  5 La 3.57-3.61, 5 Ho 3.58-3.65, 2 Y 3.63
Ho 0.1669 0.5000 0.8902 [4 per cell]  3 Y 3.57-3.61, 6 Ho 3.58-3.61, 3 La 3.61

## Properties
size of the total moment = 0.00 Bohr magnetons per cell
crystal system = monoclinic
energy relative to the elements = 2.4 kJ per mole of atoms
distance to the lowest polymorph of the same formula = 0 meV per atom